First-principles (PBE) data for a relaxed structure of ZnCl4, as listed in OQMD.

Geometry as CIF:
```
data_ZnCl4
_symmetry_space_group_name_H-M 'P 1'
_symmetry_Int_Tables_number 1
_cell_length_a 7.955
_cell_length_b 7.955
_cell_length_c 6.420
_cell_angle_alpha 90.00
_cell_angle_beta 90.00
_cell_angle_gamma 135.57
loop_
_symmetry_equiv_pos_as_xyz
'x,y,z'
loop_
_atom_site_label
_atom_site_fract_x
_atom_site_fract_y
_atom_site_fract_z
Cl1 0.428 0.833 0.500
Cl2 0.132 0.283 0.500
Cl3 0.868 0.717 0.500
Cl4 0.833 0.428 0.000
Cl5 0.167 0.572 0.000
Zn1 0.000 0.000 0.750
Cl6 0.572 0.167 0.500
Cl7 0.283 0.132 0.000
Zn2 0.000 0.000 0.250
Cl8 0.717 0.868 0.000
```

## Properties
space group: No. 66
ρ: 2.42 g/cm³
calculated volume: 28.441 A^3/atom

***

First-principles (PBE) data for a relaxed structure of Zn2Cl, as listed in OQMD.

Geometry as CIF:
```
data_Zn2Cl
_symmetry_space_group_name_H-M 'P 1'
_symmetry_Int_Tables_number 1
_cell_length_a 5.405
_cell_length_b 5.405
_cell_length_c 5.405
_cell_angle_alpha 60.00
_cell_angle_beta 60.00
_cell_angle_gamma 60.00
loop_
_symmetry_equiv_pos_as_xyz
'x,y,z'
loop_
_atom_site_label
_atom_site_fract_x
_atom_site_fract_y
_atom_site_fract_z
Zn1 0.625 0.625 0.625
Cl1 0.000 0.000 0.000
Cl2 0.250 0.250 0.250
Zn2 0.125 0.625 0.625
Zn3 0.625 0.625 0.125
Zn4 0.625 0.125 0.625
```

## Properties
space group: No. 227
ρ: 4.95 g/cm³
calculated volume: 18.609 A^3/atom

***

First-principles (PBE) data for a relaxed structure of Zr3Cl2, as listed in OQMD.

Geometry as CIF:
```
data_Zr3Cl2
_symmetry_space_group_name_H-M 'P 1'
_symmetry_Int_Tables_number 1
_cell_length_a 5.912
_cell_length_b 5.912
_cell_length_c 7.468
_cell_angle_alpha 113.32
_cell_angle_beta 66.68
_cell_angle_gamma 120.00
loop_
_symmetry_equiv_pos_as_xyz
'x,y,z'
loop_
_atom_site_label
_atom_site_fract_x
_atom_site_fract_y
_atom_site_fract_z
Cl1 0.332 0.668 0.003
Zr1 0.398 0.250 0.750
Cl2 0.832 0.168 0.503
Zr2 0.898 0.398 0.250
Zr3 0.102 0.602 0.750
Cl3 0.168 0.832 0.497
Zr4 0.750 0.898 0.750
Cl4 0.668 0.332 0.997
Zr5 0.602 0.750 0.250
Zr6 0.250 0.102 0.250
```

## Properties
space group: No. 167
ρ: 5.69 g/cm³
calculated volume: 20.106 A^3/atom

***

One value per record, in order, for VASP energy: -2.38; -1.46; -6.18 eV per atom.